A plane-wave DFT calculation with PBE was carried out for an optimized crystal structure of KW2Br.

Summary:
Energy above the most stable polymorph in this dataset in eV/atom: 0.084
Raw total energy in eV for the cell shown: -26.74
D(E_F) in states/eV/atom: 0.655
Symmetry: No. 8

Cell lengths 3.4247, 3.4247, 9.9919 Å; angles 76.64, 76.64, 58.19 degrees
Fractional positions:
1 Br 0.4338 0.4338 0.5295
2 K 0.2230 0.2230 0.2683
3 W 0.0481 0.0481 0.9329
4 W 0.7951 0.7951 0.7693